Entry 1:
The following is a GGA-PBE calculation of crystalline BaCa2Pt at its relaxed geometry, from Alexandria.

Cell: 6.122 6.122 6.122 Å, 131.83 131.83 70.50°
Atoms (fractional coordinates):
Ba: 0.750 0.250 0.500
Pt: 0.500 0.500 0.000
Ca: 0.250 0.750 0.500
Ca: 0.000 0.000 0.000

Properties
As for the space-group type: I-4m2 (119). As for the formation energy: -131 meV per atom. The total energy comes out at -3.1230 eV per atom.

=====

Entry 2:
The following is a GGA-PBE calculation of crystalline SrIn6Sn4 at its relaxed geometry, from Alexandria.

Cell: 4.282 9.396 9.396 Å, 120.00 90.00 90.00°
Atoms (fractional coordinates):
In: 0.500 0.193 0.386
In: 0.000 0.536 0.464
In: 0.500 0.193 0.807
In: 0.000 0.536 0.072
In: 0.500 0.614 0.807
In: 0.000 0.928 0.464
Sn: 0.000 0.333 0.667
Sn: 0.500 0.814 0.186
Sn: 0.500 0.371 0.186
Sn: 0.500 0.814 0.629
Sr: 0.000 0.000 0.000

Properties
As for the space-group type: P-6m2 (187). As for the formation energy: -56 meV per atom. The total energy comes out at -3.1581 eV per atom.

=====

Entry 3:
The following is a GGA-PBE calculation of crystalline FeRe2Si at its relaxed geometry, from Alexandria.

Cell: 2.781 3.813 5.123 Å, 90.00 90.00 90.00°
Site moments in Bohr magnetons follow the coordinates.
Atoms (fractional coordinates):
Re: 0.000 0.000 0.000  -0.04
Re: 0.500 0.500 0.249  0.16
Si: 0.000 0.000 0.515  -0.01
Fe: 0.500 0.500 0.735  1.85

Properties
As for the space-group type: Pmm2 (25). The total energy comes out at -9.6880 eV per atom.

=====

Entry 4:
The following is a GGA-PBE calculation of crystalline LiTlHg3 at its relaxed geometry, from Alexandria.

Cell: 5.773 5.773 5.773 Å, 90.00 90.00 90.00°
Atoms (fractional coordinates):
Hg: 0.500 0.000 0.000
Hg: 0.000 0.500 0.000
Hg: 0.000 0.000 0.500
Tl: 0.000 0.000 0.000
Li: 0.500 0.500 0.500

Properties
As for the space-group type: Pm-3m (221). As for the formation energy: 257 meV per atom. The total energy comes out at -0.7800 eV per atom.

=====

Entry 5:
The following is a GGA-PBE calculation of crystalline HfTh2Sc6 at its relaxed geometry, from Alexandria.

Cell: 6.203 9.454 9.454 Å, 121.23 85.03 85.03°
Atoms (fractional coordinates):
Sc: 0.991 0.379 0.711
Sc: 0.667 0.639 0.043
Sc: 0.167 0.043 0.639
Sc: 0.333 0.361 0.957
Sc: 0.009 0.621 0.289
Sc: 0.644 0.998 0.714
Sc: 0.356 0.002 0.286
Sc: 0.509 0.289 0.621
Sc: 0.144 0.714 0.998
Sc: 0.856 0.286 0.002
Sc: 0.491 0.711 0.379
Sc: 0.833 0.957 0.361
Th: 0.420 0.351 0.288
Th: 0.920 0.288 0.351
Th: 0.580 0.649 0.712
Th: 0.080 0.712 0.649
Hf: 0.750 0.975 0.025
Hf: 0.250 0.025 0.975

Properties
As for the space-group type: C2/c (15). As for the formation energy: 90 meV per atom. The total energy comes out at -6.8860 eV per atom.

=====

Entry 6:
The following is a GGA-PBE calculation of crystalline Tb2PrTmP4 at its relaxed geometry, from Alexandria.

Cell: 4.057 7.020 7.023 Å, 109.46 90.00 90.00°
Atoms (fractional coordinates):
P: 0.500 0.757 0.750
P: 0.500 0.243 0.250
P: 0.000 0.241 0.745
P: 0.000 0.759 0.255
Tb: 0.500 0.000 0.500
Tb: 0.000 0.500 0.500
Tm: 0.000 0.000 0.000
Pr: 0.500 0.500 0.000

Properties
As for the space-group type: P2/m (10). As for the formation energy: -1569 meV per atom. The total energy comes out at -6.5877 eV per atom.